Entry 1:
Entry from the Alexandria database: a relaxed structure of Tb2Zn2Ni (PBE).

abc: 3.814 5.629 10.469
angles: 92.97 79.50 70.20
Fractional coordinates of all 10 atoms:
Zn 0.638 0.833 0.891
Ni 0.620 0.076 0.685
Zn 0.875 0.802 0.449
Zn 0.362 0.167 0.109
Tb 0.932 0.261 0.875
Zn 0.125 0.198 0.551
Tb 0.068 0.739 0.125
Tb 0.666 0.333 0.335
Tb 0.334 0.667 0.665
Ni 0.380 0.924 0.315

Properties
Symmetry = No. 12
E_form = -378 meV/atom

=====

Entry 2:
Entry from the Alexandria database: a relaxed structure of Ba3LiAc2Se6 (PBE).

abc: 7.862 7.862 7.941
angles: 99.47 99.47 120.02
Fractional coordinates of all 12 atoms:
Se 0.409 0.077 0.231
Ba 0.165 0.835 0.500
Se 0.591 0.923 0.769
Li 0.000 0.000 0.000
Ac 0.667 0.333 0.000
Se 0.923 0.591 0.769
Se 0.745 0.745 0.229
Se 0.255 0.255 0.771
Ba 0.835 0.165 0.500
Se 0.077 0.409 0.231
Ac 0.333 0.667 0.000
Ba 0.500 0.500 0.500

Properties
Symmetry = No. 12
Raw formation energy = -1880 meV per atom

=====

Entry 3:
Entry from the Alexandria database: a relaxed structure of Hf2Be3Si (PBE).

abc: 5.022 5.022 7.315
angles: 107.53 107.53 97.04
Fractional coordinates of all 12 atoms:
Be 0.163 0.673 0.836
Si 0.333 0.333 0.666
Be 0.673 0.163 0.836
Hf 0.753 0.753 0.000
Hf 0.750 0.250 0.500
Be 0.836 0.836 0.672
Be 0.837 0.327 0.164
Si 0.667 0.667 0.334
Hf 0.247 0.247 0.000
Hf 0.250 0.750 0.500
Be 0.327 0.837 0.164
Be 0.164 0.164 0.328

Properties
Symmetry = No. 69
ΔE to the lowest computed polymorph = 0.00 eV per formula unit
Raw formation energy = -450 meV per atom

=====

Calculated magnetic moment (μB/f.u.), listed in the same order as above: 0.000; 0.000; 0.000
Calculated N(E_F) (states/eV per atom), listed in the same order as above: 0.74; 0.31; 0.35